Density functional theory data (PBE) for a relaxed Cs3LiSe2O6 crystal.

**Spin magnetization**: 0.0 μB per cell
**Total energy**: -4.8369 eV per atom
**Volume**: 269.2 Å³/cell

abc: 6.3048 6.3048 7.8201
angles: 90.00 90.00 120.00
Last column: nearest neighbours and their distance in Å.
Element x y z (fractional)
O: 0.3764 0.1882 0.6953  1 Se 1.73
O: 0.6236 0.8118 0.3047  1 Se 1.73
O: 0.1882 0.8118 0.3047  1 Se 1.73
O: 0.8118 0.6236 0.6953  1 Se 1.73
O: 0.1882 0.3764 0.3047  1 Se 1.73
O: 0.8118 0.1882 0.6953  1 Se 1.73
Se: 0.3333 0.6667 0.2156  3 O 1.73
Se: 0.6667 0.3333 0.7844  3 O 1.73
Cs: 0.3333 0.6667 0.6645  9 O 3.17-3.23, 1 Se 3.51
Cs: 0.0000 0.0000 0.0000  6 O 3.15
Cs: 0.6667 0.3333 0.3355  9 O 3.17-3.23, 1 Se 3.51
Li: 0.0000 0.0000 0.5000  6 O 2.56

=====

Density functional theory data (PBE) for a relaxed FeTc2Br crystal.

**Spin magnetization**: 2.6 μB per cell
**Total energy**: -6.8980 eV per atom
**Volume**: 58.0 Å³/cell

abc: 4.4016 4.4016 2.9913
angles: 90.00 90.00 90.00
Last column: nearest neighbours and their distance in Å.
Element x y z (fractional)
Tc: 0.0000 0.0000 0.0000  4 Br 2.66, 4 Fe 2.66
Tc: 0.5000 0.5000 0.0000  4 Fe 2.66, 4 Br 2.66
Fe: 0.0000 0.5000 0.5000  8 Tc 2.66
Br: 0.5000 0.0000 0.5000  8 Tc 2.66

=====

Density functional theory data (PBE) for a relaxed YHo6Tl4 crystal.

**Spin magnetization**: 2.4 μB per cell
**Energy relative to the elements**: -226.0 meV/atom
**Total energy**: -4.1711 eV per atom
**Volume**: 324.6 Å³/cell

abc: 3.7155 10.0444 10.0444
angles: 120.00 90.00 90.00
Last column: nearest neighbours and their distance in Å.
Element x y z (fractional)
Ho: 0.5000 0.1911 0.8089  4 Tl 3.09
Ho: 0.0000 0.5398 0.0797  5 Tl 3.27-3.59
Ho: 0.0000 0.9203 0.4602  5 Tl 3.27-3.59
Ho: 0.5000 0.6179 0.8089  4 Tl 3.09
Ho: 0.0000 0.5398 0.4602  5 Tl 3.27-3.59
Ho: 0.5000 0.1911 0.3821  4 Tl 3.09
Tl: 0.5000 0.8394 0.1606  6 Ho 3.09-3.27, 2 Y 3.35
Tl: 0.5000 0.3211 0.1606  6 Ho 3.09-3.27, 2 Y 3.35
Tl: 0.0000 0.3333 0.6667  6 Ho 3.09
Tl: 0.5000 0.8394 0.6789  6 Ho 3.09-3.27, 2 Y 3.35
Y: 0.0000 0.0000 0.0000  6 Tl 3.35, 2 Y 3.72

=====

Density functional theory data (PBE) for a relaxed RbSc3H crystal.

**Spin magnetization**: 0.0 μB per cell
**Total energy**: -2.5496 eV per atom
**Volume**: 139.8 Å³/cell

abc: 5.1901 5.1901 5.1901
angles: 90.00 90.00 90.00
Last column: nearest neighbours and their distance in Å.
Element x y z (fractional)
H: 0.5000 0.5000 0.5000  12 Sc 3.67
Sc: 0.0000 0.0000 0.5000  2 Rb 2.60
Sc: 0.0000 0.5000 0.0000  2 Rb 2.60
Sc: 0.5000 0.0000 0.0000  2 Rb 2.60
Rb: 0.0000 0.0000 0.0000  6 Sc 2.60

=====

Density functional theory data (PBE) for a relaxed OsRu3 crystal.

**Spin magnetization**: 3.0 μB per cell
**Energy relative to the elements**: 2413.6 meV/atom
**Total energy**: -7.3508 eV per atom
**Volume**: 105.2 Å³/cell

abc: 4.7203 4.7203 4.7203
angles: 90.00 90.00 90.00
Last column: nearest neighbours and their distance in Å.
Element x y z (fractional)
Ru: 0.0000 0.0000 0.5000  2 Os 2.36
Ru: 0.5000 0.0000 0.0000  2 Os 2.36
Ru: 0.0000 0.5000 0.0000  2 Os 2.36
Os: 0.0000 0.0000 0.0000  6 Ru 2.36

=====

Density functional theory data (PBE) for a relaxed CeScNi2P2 crystal.

**Spin magnetization**: 0.6 μB per cell
**Energy relative to the elements**: -1157.0 meV/atom
**Total energy**: -6.9316 eV per atom
**Volume**: 97.5 Å³/cell

abc: 3.8808 3.8808 7.4769
angles: 90.00 90.00 120.00
Last column: nearest neighbours and their distance in Å.
Element x y z (fractional)
Sc: 0.0000 0.0000 0.5000  6 P 2.83, 6 Ni 2.85
Ce: 0.0000 0.0000 0.0000  6 Ni 2.99, 6 P 3.01
Ni: 0.3333 0.6667 0.7357  3 P 2.24
Ni: 0.6667 0.3333 0.2643  3 P 2.24
P: 0.3333 0.6667 0.2683  3 Ni 2.24
P: 0.6667 0.3333 0.7317  3 Ni 2.24

=====

Density functional theory data (PBE) for a relaxed Na2MgTaMn crystal.

**Spin magnetization**: 1.7 μB per cell
**Energy relative to the elements**: 1715.9 meV/atom
**Total energy**: -3.3351 eV per atom
**Volume**: 118.4 Å³/cell

abc: 4.8772 4.9757 4.8772
angles: 90.00 90.00 90.00
Last column: nearest neighbours and their distance in Å.
Element x y z (fractional)
Na: 0.0000 0.0000 0.5000  2 Mn 2.44
Na: 0.5000 0.0000 0.0000  2 Mn 2.44
Mg: 0.0000 0.5000 0.0000  2 Mn 2.49
Ta: 0.5000 0.5000 0.5000  4 Mg 3.45, 8 Na 3.48
Mn: 0.0000 0.0000 0.0000  4 Na 2.44, 2 Mg 2.49

=====

Density functional theory data (PBE) for a relaxed TbPmHo5 crystal.

**Spin magnetization**: 0.0 μB per cell
**Energy relative to the elements**: 194.6 meV/atom
**Total energy**: -4.4153 eV per atom
**Volume**: 448.9 Å³/cell

abc: 6.7350 6.7350 13.6639
angles: 61.57 61.57 60.16
Last column: nearest neighbours and their distance in Å.
Element x y z (fractional)
Ho: 0.6919 0.6511 0.0002  4 Ho 3.28-3.60, 1 Pm 3.29
Ho: 0.3489 0.3081 0.4998  4 Ho 3.28-3.60, 1 Pm 3.29
Ho: 0.6511 0.6919 0.5002  4 Ho 3.28-3.60, 1 Pm 3.29
Ho: 0.1617 0.8383 0.7500  1 Pm 2.97, 2 Ho 2.98
Ho: 0.3918 0.1656 0.2516  2 Ho 2.98-3.28, 1 Tb 3.24
Ho: 0.1656 0.3918 0.7516  2 Ho 2.98-3.28, 1 Tb 3.24
Ho: 0.6082 0.8344 0.7484  2 Ho 2.98-3.28, 1 Tb 3.24
Ho: 0.8383 0.1617 0.2500  1 Pm 2.97, 2 Ho 2.98
Ho: 0.8344 0.6082 0.2484  2 Ho 2.98-3.28, 1 Tb 3.24
Ho: 0.3081 0.3489 0.9998  4 Ho 3.28-3.60, 1 Pm 3.29
Tb: 0.0000 0.0000 0.5000  4 Ho 3.24-3.59
Tb: 0.0000 0.0000 0.0000  4 Ho 3.24-3.59
Pm: 0.2775 0.7225 0.2500  3 Ho 2.97-3.29
Pm: 0.7225 0.2775 0.7500  3 Ho 2.97-3.29

=====

Density functional theory data (PBE) for a relaxed TeBrCl crystal.

**Spin magnetization**: 0.0 μB per cell
**Total energy**: -2.4504 eV per atom
**Volume**: 118.5 Å³/cell

abc: 8.4552 7.6282 4.5664
angles: 83.78 63.75 32.47
Last column: nearest neighbours and their distance in Å.
Element x y z (fractional)
Cl: 0.2939 0.2939 0.7061  2 Te 2.66
Br: 0.0357 0.0357 0.9643  2 Te 2.78
Te: 0.6704 0.6704 0.3296  2 Cl 2.66, 2 Br 2.78

=====

Density functional theory data (PBE) for a relaxed NaLiMgCl4 crystal.

**Spin magnetization**: 0.0 μB per cell
**Total energy**: -3.5610 eV per atom
**Volume**: 320.1 Å³/cell

abc: 7.5908 7.7049 7.7049
angles: 59.63 60.49 60.49
Last column: nearest neighbours and their distance in Å.
Element x y z (fractional)
Cl: 0.2336 0.7472 0.2472  1 Li 2.55, 2 Mg 2.60, 1 Na 2.79
Cl: 0.2281 0.2528 0.7528  1 Li 2.55, 2 Mg 2.60, 1 Na 2.79
Cl: 0.2262 0.2767 0.2710  1 Li 2.39, 1 Mg 2.49
Cl: 0.7719 0.7472 0.2472  1 Li 2.55, 2 Mg 2.60, 1 Na 2.79
Cl: 0.7664 0.2528 0.7528  1 Li 2.55, 2 Mg 2.60, 1 Na 2.79
Cl: 0.7738 0.2290 0.2233  1 Li 2.39, 1 Mg 2.49
Cl: 0.7738 0.7233 0.7290  1 Li 2.39, 1 Mg 2.49
Cl: 0.2262 0.7710 0.7767  1 Li 2.39, 1 Mg 2.49
Mg: 0.0000 0.5000 0.5000  6 Cl 2.49-2.60
Mg: 0.0000 0.0000 0.0000  6 Cl 2.49-2.60
Na: 0.5000 0.0000 0.5000  6 Cl 2.72-2.79
Na: 0.0000 0.0000 0.5000  6 Cl 2.72-2.79
Li: 0.3587 0.3913 0.8913  4 Cl 2.39-2.55
Li: 0.6413 0.6087 0.1087  4 Cl 2.39-2.55

=====

Question: Which value of volume does entry 7 give?
Answer: 118.4 Å³/cell

=====

Question: total energy of number 3 (YHo6Tl4)?
Answer: -4.1711 eV per atom

=====

Question: Which formula does entry 6 have?
Answer: CeScNi2P2